No. 1
Density functional theory data (GGA-PBE) for a relaxed NiPbBr6 crystal.

symmetry	C2/m (12)
formation energy (no corrections)	-34.96	kJ per mole of atoms
calculated volume	33.52	Å³ per atom

a = 6.7720 Å, b = 6.9844 Å, c = 6.9844 Å
α = 122.00°, β = 98.06°, γ = 98.06°
Fractional positions:
Ni1 0.5000 0.5000 0.5000
Pb1 0.0000 0.0000 0.0000
Br1 0.7026 0.5595 0.8423
Br2 0.7026 0.8423 0.5595
Br3 0.2974 0.1577 0.4405
Br4 0.2974 0.4405 0.1577
Br5 0.7481 0.2511 0.2511
Br6 0.2519 0.7489 0.7489

No. 2
Density functional theory data (GGA-PBE) for a relaxed Cd2InCuF crystal.

symmetry	P4/mmm (123)
formation energy (no corrections)	-29.37	kJ per mole of atoms
calculated volume	22.36	Å³ per atom

a = 5.4113 Å, b = 3.8187 Å, c = 5.4113 Å
α = 90.00°, β = 90.00°, γ = 90.00°
Fractional positions:
F1 0.0000 0.5000 0.0000
Cd1 0.0000 0.0000 0.5000
Cd2 0.5000 0.0000 0.0000
Cu1 0.0000 0.0000 0.0000
In1 0.5000 0.5000 0.5000

No. 3
Density functional theory data (GGA-PBE) for a relaxed CaLaMg2Cd4 crystal.

symmetry	R-3m (166)
calculated volume	25.17	Å³ per atom
energy relative to the elements	-2.412	eV/f.u.

a = 5.1838 Å, b = 5.1838 Å, c = 9.1554 Å
α = 73.55°, β = 73.55°, γ = 60.00°
Fractional positions:
Ca1 0.5000 0.5000 0.5000
La1 0.0000 0.0000 0.0000
Mg1 0.7501 0.7501 0.7497
Mg2 0.2499 0.2499 0.2503
Cd1 0.3797 0.3797 0.8610
Cd2 0.8735 0.8735 0.3794
Cd3 0.1265 0.1265 0.6206
Cd4 0.6203 0.6203 0.1390

No. 4
Density functional theory data (GGA-PBE) for a relaxed La2UN3 crystal.

symmetry	C2/c (15)
formation energy (no corrections)	-129.58	kJ per mole of atoms
calculated volume	16.77	Å³ per atom

a = 6.1913 Å, b = 6.2804 Å, c = 6.2804 Å
α = 119.27°, β = 99.56°, γ = 99.56°
Fractional positions:
La1 0.2500 0.9148 0.0852
La2 0.2500 0.2459 0.7541
La3 0.7500 0.0852 0.9148
La4 0.7500 0.7541 0.2459
U1 0.2500 0.5830 0.4170
U2 0.7500 0.4170 0.5830
N1 0.0003 0.2360 0.3721
N2 0.5003 0.3721 0.2360
N3 0.0000 0.5000 0.0000
N4 0.9997 0.7640 0.6279
N5 0.5000 0.0000 0.5000
N6 0.4997 0.6279 0.7640

No. 5
Density functional theory data (GGA-PBE) for a relaxed NdScSb crystal.

symmetry	I4/mmm (139)
formation energy (no corrections)	-83.62	kJ per mole of atoms
calculated volume	27.58	Å³ per atom

a = 8.8715 Å, b = 8.8715 Å, c = 8.8715 Å
α = 150.83°, β = 150.83°, γ = 41.73°
Fractional positions:
Nd1 0.8246 0.8246 0.0000
Nd2 0.1754 0.1754 0.0000
Sc1 0.0000 0.5000 0.5000
Sc2 0.5000 0.0000 0.5000
Sb1 0.6263 0.6263 0.0000
Sb2 0.3737 0.3737 0.0000

No. 6
Density functional theory data (GGA-PBE) for a relaxed TmNi4 crystal.

symmetry	Pm-3m (221)
calculated volume	18.57	Å³ per atom
energy relative to the elements	7.362	eV/f.u.

a = 4.5281 Å, b = 4.5281 Å, c = 4.5281 Å
α = 90.00°, β = 90.00°, γ = 90.00°
Fractional positions:
Ni1 0.0000 0.0000 0.0000
Ni2 0.5000 0.0000 0.5000
Ni3 0.0000 0.5000 0.5000
Ni4 0.5000 0.5000 0.0000
Tm1 0.5000 0.5000 0.5000